[1]
# Gd2MnBr PBE optimized geometry
# ΔE_f (raw) = -32.5 kJ/mol of atoms
# DOS(E_F) = 4.567 states/eV per cell
data_Gd2MnBr
_chemical_formula_sum 'Gd2 Mn1 Br1'
_space_group_name_H-M_alt 'P 4/m m m'
_space_group_IT_number 123
_space_group_name_Hall '-P 4 2'
_cell_length_a 3.429
_cell_length_b 3.429
_cell_length_c 8.232
_cell_angle_alpha 90.00
_cell_angle_beta 90.00
_cell_angle_gamma 90.00
loop_
_atom_site_label
_atom_site_fract_x
_atom_site_fract_y
_atom_site_fract_z
_atom_site_occupancy
Gd1 0.000 0.000 0.210 1
Mn1 0.500 0.500 0.000 1
Br1 0.500 0.500 0.500 1

---

[2]
# BeInPt3 PBE optimized geometry
# distance to the lowest polymorph of the same formula = 1640.6 meV per atom
# ΔE_f = 1.3865 eV per atom
# DOS(E_F) = 3.395 states/eV per cell
data_BeInPt3
_chemical_formula_sum 'Be1 In1 Pt3'
_space_group_name_H-M_alt 'P m -3 m'
_space_group_IT_number 221
_space_group_name_Hall '-P 4 2 3'
_cell_length_a 4.916
_cell_length_b 4.916
_cell_length_c 4.916
_cell_angle_alpha 90.00
_cell_angle_beta 90.00
_cell_angle_gamma 90.00
loop_
_atom_site_label
_atom_site_fract_x
_atom_site_fract_y
_atom_site_fract_z
_atom_site_occupancy
Be1 0.000 0.000 0.000 1
In1 0.500 0.500 0.500 1
Pt1 0.000 0.500 0.500 1

---

[3]
# LaReBr2 PBE optimized geometry
# ΔE_f (raw) = -6.7 kJ/mol of atoms
# distance to the lowest polymorph of the same formula = 204.2 meV per atom
# DOS(E_F) = 1.541 states/eV per cell
data_LaReBr2
_chemical_formula_sum 'La1 Re1 Br2'
_space_group_name_H-M_alt 'P 4 m m'
_space_group_IT_number 99
_cell_length_a 3.378
_cell_length_b 3.378
_cell_length_c 9.085
_cell_angle_alpha 90.00
_cell_angle_beta 90.00
_cell_angle_gamma 90.00
loop_
_space_group_symop_operation_xyz
'x,y,z'
'-y,x,z'
'-x,-y,z'
'y,-x,z'
'-x,y,z'
'y,x,z'
'x,-y,z'
'-y,-x,z'
loop_
_atom_site_label
_atom_site_fract_x
_atom_site_fract_y
_atom_site_fract_z
_atom_site_occupancy
La1 0.000 0.000 0.000 1
Re1 0.500 0.500 0.242 1
Br1 0.000 0.000 0.385 1
Br2 0.500 0.500 0.776 1

---

[4]
# SnHgN2 PBE optimized geometry
# ΔE_f (raw) = 129.8 kJ/mol of atoms
# distance to the lowest polymorph of the same formula = 1155.0 meV per atom
# DOS(E_F) = 7.712 states/eV per cell
data_SnHgN2
_chemical_formula_sum 'Sn3 Hg3 N6'
_space_group_name_H-M_alt 'R -3 m'
_space_group_IT_number 166
_space_group_name_Hall '-R 3 2"'
_cell_length_a 3.5452
_cell_length_b 3.5452
_cell_length_c 18.9848
_cell_angle_alpha 90.00
_cell_angle_beta 90.00
_cell_angle_gamma 120.00
loop_
_atom_site_label
_atom_site_fract_x
_atom_site_fract_y
_atom_site_fract_z
_atom_site_occupancy
Sn1 0.0000 0.0000 0.0000 1
Hg1 0.0000 0.0000 0.5000 1
N1 0.0000 0.0000 0.1076 1

---

[5]
# Hf2ZnAg2 PBE optimized geometry
# distance to the lowest polymorph of the same formula = 0.0 meV per atom
# ΔE_f = 0.1284 eV per atom
# DOS(E_F) = 9.212 states/eV per cell
data_Hf2ZnAg2
_chemical_formula_sum 'Hf4 Zn2 Ag4'
_space_group_name_H-M_alt 'P 4/m b m'
_space_group_IT_number 127
_space_group_name_Hall '-P 4 2ab'
_cell_length_a 6.976
_cell_length_b 6.976
_cell_length_c 4.017
_cell_angle_alpha 90.00
_cell_angle_beta 90.00
_cell_angle_gamma 90.00
loop_
_atom_site_label
_atom_site_fract_x
_atom_site_fract_y
_atom_site_fract_z
_atom_site_occupancy
Hf1 0.167 0.333 0.000 1
Zn1 0.000 0.000 0.500 1
Ag1 0.138 0.638 0.500 1

---

[6]
# Sc2Ta2Ti PBE optimized geometry
# ΔE_f = 0.3750 eV per atom
# DOS(E_F) = 12.476 states/eV per cell
data_Sc2Ta2Ti
_chemical_formula_sum 'Sc4 Ta4 Ti2'
_space_group_name_H-M_alt 'P 4/m b m'
_space_group_IT_number 127
_space_group_name_Hall '-P 4 2ab'
_cell_length_a 6.921
_cell_length_b 6.921
_cell_length_c 4.374
_cell_angle_alpha 90.00
_cell_angle_beta 90.00
_cell_angle_gamma 90.00
loop_
_atom_site_label
_atom_site_fract_x
_atom_site_fract_y
_atom_site_fract_z
_atom_site_occupancy
Sc1 0.161 0.339 0.000 1
Ta1 0.140 0.640 0.500 1
Ti1 0.000 0.000 0.500 1

---

[7]
# CoMoSe2 PBE optimized geometry
# ΔE_f (raw) = -24.5 kJ/mol of atoms
# distance to the lowest polymorph of the same formula = 0.0 meV per atom
# DOS(E_F) = 2.280 states/eV per cell
data_CoMoSe2
_chemical_formula_sum 'Co1 Mo1 Se2'
_space_group_name_H-M_alt 'P -4 m 2'
_space_group_IT_number 115
_cell_length_a 3.748
_cell_length_b 3.748
_cell_length_c 6.421
_cell_angle_alpha 90.00
_cell_angle_beta 90.00
_cell_angle_gamma 90.00
loop_
_space_group_symop_operation_xyz
'x,y,z'
'y,-x,-z'
'-x,-y,z'
'-y,x,-z'
'-x,y,z'
'-y,-x,-z'
'x,-y,z'
'y,x,-z'
loop_
_atom_site_label
_atom_site_fract_x
_atom_site_fract_y
_atom_site_fract_z
_atom_site_occupancy
Co1 0.000 0.000 0.000 1
Mo1 0.500 0.500 0.000 1
Se1 0.000 0.500 0.249 1

---

[8]
# TmSnRu2 PBE optimized geometry
# ΔE_f = -0.4322 eV per atom
# DOS(E_F) = 2.373 states/eV per cell
data_TmSnRu2
_chemical_formula_sum 'Tm1 Sn1 Ru2'
_space_group_name_H-M_alt 'P 4/m m m'
_space_group_IT_number 123
_space_group_name_Hall '-P 4 2'
_cell_length_a 4.577
_cell_length_b 4.577
_cell_length_c 3.357
_cell_angle_alpha 90.00
_cell_angle_beta 90.00
_cell_angle_gamma 90.00
loop_
_atom_site_label
_atom_site_fract_x
_atom_site_fract_y
_atom_site_fract_z
_atom_site_occupancy
Tm1 0.000 0.000 0.000 1
Sn1 0.500 0.500 0.000 1
Ru1 0.000 0.500 0.500 1

---

[9]
# La2CrCdPb PBE optimized geometry
# ΔE_f = 1.1968 eV per atom
# DOS(E_F) = 10.619 states/eV per cell
data_La2CrCdPb
_chemical_formula_sum 'La2 Cr1 Cd1 Pb1'
_space_group_name_H-M_alt 'P 4/m m m'
_space_group_IT_number 123
_space_group_name_Hall '-P 4 2'
_cell_length_a 6.110
_cell_length_b 6.110
_cell_length_c 5.313
_cell_angle_alpha 90.00
_cell_angle_beta 90.00
_cell_angle_gamma 90.00
loop_
_atom_site_label
_atom_site_fract_x
_atom_site_fract_y
_atom_site_fract_z
_atom_site_occupancy
La1 0.000 0.500 0.000 1
Cr1 0.000 0.000 0.500 1
Cd1 0.500 0.500 0.500 1
Pb1 0.500 0.500 0.000 1

---

[10]
# Sm3Ho6ErTh2 PBE optimized geometry
# ΔE_f = 0.0185 eV per atom
# DOS(E_F) = 31.242 states/eV per cell
data_Sm3Ho6ErTh2
_chemical_formula_sum 'Sm6 Ho12 Er2 Th4'
_space_group_name_H-M_alt 'C 1 2/m 1'
_space_group_IT_number 12
_cell_length_a 6.172
_cell_length_b 10.683
_cell_length_c 11.751
_cell_angle_alpha 90.00
_cell_angle_beta 100.10
_cell_angle_gamma 90.00
loop_
_space_group_symop_operation_xyz
'x,y,z'
'-x,-y,-z'
'-x,y,-z'
'x,-y,z'
'x+1/2,y+1/2,z'
'-x+1/2,-y+1/2,-z'
'-x+1/2,y+1/2,-z'
'x+1/2,-y+1/2,z'
loop_
_atom_site_label
_atom_site_fract_x
_atom_site_fract_y
_atom_site_fract_z
_atom_site_occupancy
Sm1 0.000 0.000 0.000 1
Sm2 0.000 0.334 0.000 1
Ho1 0.245 0.000 0.746 1
Ho2 0.250 0.168 0.254 1
Er1 0.000 0.500 0.500 1
Th1 0.000 0.167 0.500 1

---

[11]
# Tb2DySc3S6 PBE optimized geometry
# ΔE_f (raw) = -185.9 kJ/mol of atoms
# DOS(E_F) = 11.339 states/eV per cell
data_Tb2DySc3S6
_chemical_formula_sum 'Tb4 Dy2 Sc6 S12'
_space_group_name_H-M_alt 'C 1 2/m 1'
_space_group_IT_number 12
_cell_length_a 16.589
_cell_length_b 3.797
_cell_length_c 7.645
_cell_angle_alpha 90.00
_cell_angle_beta 103.50
_cell_angle_gamma 90.00
loop_
_space_group_symop_operation_xyz
'x,y,z'
'-x,-y,-z'
'-x,y,-z'
'x,-y,z'
'x+1/2,y+1/2,z'
'-x+1/2,-y+1/2,-z'
'-x+1/2,y+1/2,-z'
'x+1/2,-y+1/2,z'
loop_
_atom_site_label
_atom_site_fract_x
_atom_site_fract_y
_atom_site_fract_z
_atom_site_occupancy
Tb1 0.167 0.000 0.334 1
Dy1 0.000 0.500 0.000 1
Sc1 0.000 0.500 0.500 1
Sc2 0.167 0.000 0.833 1
S1 0.004 0.000 0.742 1
S2 0.162 0.500 0.593 1
S3 0.170 0.500 0.073 1

---

[12]
# LaDy4Y3 PBE optimized geometry
# distance to the lowest polymorph of the same formula = 0.0 meV per atom
# ΔE_f = 0.0141 eV per atom
# DOS(E_F) = 26.909 states/eV per cell
data_LaDy4Y3
_chemical_formula_sum 'La2 Dy8 Y6'
_space_group_name_H-M_alt 'P m n 21'
_space_group_IT_number 31
_cell_length_a 11.387
_cell_length_b 7.324
_cell_length_c 6.312
_cell_angle_alpha 90.00
_cell_angle_beta 90.00
_cell_angle_gamma 90.00
loop_
_space_group_symop_operation_xyz
'x,y,z'
'-x+1/2,-y,z+1/2'
'-x,y,z'
'x+1/2,-y,z+1/2'
loop_
_atom_site_label
_atom_site_fract_x
_atom_site_fract_y
_atom_site_fract_z
_atom_site_occupancy
La1 0.000 0.128 0.000 1
Dy1 0.000 0.379 0.508 1
Dy2 0.000 0.623 0.007 1
Dy3 0.248 0.623 0.339 1
Y1 0.000 0.872 0.504 1
Y2 0.249 0.127 0.340 1

---

[13]
# PmTaCoIr2 PBE optimized geometry
# ΔE_f = -0.3749 eV per atom
# DOS(E_F) = 10.448 states/eV per cell
data_PmTaCoIr2
_chemical_formula_sum 'Pm2 Ta2 Co2 Ir4'
_space_group_name_H-M_alt 'I -4 m 2'
_space_group_IT_number 119
_space_group_name_Hall 'I -4 -2'
_cell_length_a 4.037
_cell_length_b 4.037
_cell_length_c 11.597
_cell_angle_alpha 90.00
_cell_angle_beta 90.00
_cell_angle_gamma 90.00
loop_
_atom_site_label
_atom_site_fract_x
_atom_site_fract_y
_atom_site_fract_z
_atom_site_occupancy
Pm1 0.000 0.000 0.000 1
Ta1 0.000 0.500 0.750 1
Co1 0.000 0.500 0.250 1
Ir1 0.000 0.000 0.388 1